(1)
Density functional theory data (GGA-PBE) for crystalline KSe2F8 at its relaxed geometry.

Results
ΔE_f (raw): -1789.7 meV/atom
space group: P-1, No. 2

Cell and atoms, written as CIF:
```
data_KSe2F8
_chemical_formula_sum 'K1 Se2 F8'
_symmetry_space_group_name_H-M 'P 1'
_symmetry_Int_Tables_number 1
_symmetry_space_group_name_Hall 'P 1'
_cell_length_a 4.547
_cell_length_b 7.845
_cell_length_c 6.804
_cell_angle_alpha 125.93
_cell_angle_beta 85.21
_cell_angle_gamma 90.75
loop_
_atom_site_label
_atom_site_fract_x
_atom_site_fract_y
_atom_site_fract_z
K1 0.000 0.000 0.000
F1 0.254 0.221 0.442
F2 0.279 0.608 0.217
F3 0.746 0.779 0.558
F4 0.263 0.619 0.757
F5 0.254 0.136 0.751
F6 0.721 0.392 0.783
F7 0.746 0.864 0.249
F8 0.737 0.381 0.243
Se1 0.255 0.382 0.763
Se2 0.745 0.618 0.237
```


(2)
Density functional theory data (GGA-PBE) for crystalline SnPt6Rh at its relaxed geometry.

Results
E_form: -155 meV per atom
space group: P4/mmm, No. 123

Cell and atoms, written as CIF:
```
data_SnPt6Rh
_chemical_formula_sum 'Sn1 Pt6 Rh1'
_symmetry_space_group_name_H-M 'P 1'
_symmetry_Int_Tables_number 1
_symmetry_space_group_name_Hall 'P 1'
_cell_length_a 3.988
_cell_length_b 3.988
_cell_length_c 8.052
_cell_angle_alpha 90.00
_cell_angle_beta 90.00
_cell_angle_gamma 90.00
loop_
_atom_site_label
_atom_site_fract_x
_atom_site_fract_y
_atom_site_fract_z
Sn1 0.000 0.000 0.000
Rh1 0.000 0.000 0.500
Pt1 0.500 0.000 0.745
Pt2 0.000 0.500 0.745
Pt3 0.500 0.500 0.000
Pt4 0.500 0.000 0.255
Pt5 0.000 0.500 0.255
Pt6 0.500 0.500 0.500
```


(3)
Density functional theory data (GGA-PBE) for crystalline Sr2LiOsC at its relaxed geometry.

Results
E_form: 148 meV per atom
space group: P4/mmm, No. 123

Cell and atoms, written as CIF:
```
data_Sr2LiOsC
_chemical_formula_sum 'Sr2 Li1 Os1 C1'
_symmetry_space_group_name_H-M 'P 1'
_symmetry_Int_Tables_number 1
_symmetry_space_group_name_Hall 'P 1'
_cell_length_a 5.543
_cell_length_b 5.543
_cell_length_c 3.936
_cell_angle_alpha 90.00
_cell_angle_beta 90.00
_cell_angle_gamma 90.00
loop_
_atom_site_label
_atom_site_fract_x
_atom_site_fract_y
_atom_site_fract_z
Sr1 0.500 0.000 0.000
Sr2 0.000 0.500 0.000
Li1 0.500 0.500 0.500
C1 0.000 0.000 0.000
Os1 0.000 0.000 0.500
```


(4)
Density functional theory data (GGA-PBE) for crystalline TmBe4Ni4 at its relaxed geometry.

Results
E_form: -269 meV per atom
space group: P4_2/n, No. 86

Cell and atoms, written as CIF:
```
data_TmBe4Ni4
_chemical_formula_sum 'Tm2 Be8 Ni8'
_symmetry_space_group_name_H-M 'P 1'
_symmetry_Int_Tables_number 1
_symmetry_space_group_name_Hall 'P 1'
_cell_length_a 4.111
_cell_length_b 7.200
_cell_length_c 7.200
_cell_angle_alpha 90.00
_cell_angle_beta 90.00
_cell_angle_gamma 90.00
loop_
_atom_site_label
_atom_site_fract_x
_atom_site_fract_y
_atom_site_fract_z
Ni1 0.594 0.874 0.622
Ni2 0.906 0.626 0.878
Ni3 0.094 0.122 0.626
Ni4 0.406 0.378 0.874
Ni5 0.906 0.374 0.122
Ni6 0.594 0.126 0.378
Ni7 0.094 0.878 0.374
Ni8 0.406 0.622 0.126
Be1 0.581 0.844 0.300
Be2 0.581 0.156 0.700
Be3 0.081 0.800 0.656
Be4 0.419 0.300 0.156
Be5 0.081 0.200 0.344
Be6 0.919 0.344 0.800
Be7 0.919 0.656 0.200
Be8 0.419 0.700 0.844
Tm1 0.500 0.500 0.500
Tm2 0.000 0.000 0.000
```


(5)
Density functional theory data (GGA-PBE) for crystalline Al2Ni8Sn at its relaxed geometry.

Results
E_form: -315 meV per atom
space group: C2/m, No. 12

Cell and atoms, written as CIF:
```
data_Al2Ni8Sn
_chemical_formula_sum 'Al2 Ni8 Sn1'
_symmetry_space_group_name_H-M 'P 1'
_symmetry_Int_Tables_number 1
_symmetry_space_group_name_Hall 'P 1'
_cell_length_a 3.703
_cell_length_b 5.772
_cell_length_c 6.738
_cell_angle_alpha 105.64
_cell_angle_beta 105.95
_cell_angle_gamma 90.00
loop_
_atom_site_label
_atom_site_fract_x
_atom_site_fract_y
_atom_site_fract_z
Ni1 0.043 0.715 0.085
Ni2 0.147 0.204 0.294
Ni3 0.317 0.086 0.634
Ni4 0.683 0.914 0.366
Ni5 0.957 0.285 0.915
Ni6 0.853 0.796 0.706
Ni7 0.405 0.530 0.810
Ni8 0.595 0.470 0.190
Sn1 0.500 0.000 0.000
Al1 0.222 0.655 0.444
Al2 0.778 0.345 0.556
```


(6)
Density functional theory data (GGA-PBE) for crystalline Be4AlAu at its relaxed geometry.

Results
E_form: -44 meV per atom
space group: F-43m, No. 216

Cell and atoms, written as CIF:
```
data_Be4AlAu
_chemical_formula_sum 'Be4 Al1 Au1'
_symmetry_space_group_name_H-M 'P 1'
_symmetry_Int_Tables_number 1
_symmetry_space_group_name_Hall 'P 1'
_cell_length_a 4.488
_cell_length_b 4.488
_cell_length_c 4.488
_cell_angle_alpha 60.00
_cell_angle_beta 60.00
_cell_angle_gamma 60.00
loop_
_atom_site_label
_atom_site_fract_x
_atom_site_fract_y
_atom_site_fract_z
Be1 0.376 0.376 0.871
Be2 0.376 0.376 0.376
Be3 0.376 0.871 0.376
Be4 0.871 0.376 0.376
Al1 0.750 0.750 0.750
Au1 0.000 0.000 0.000
```


Total magnetic moment? In order: 0.00 0.34 0.00 0.00 0.00 0.00 μB per cell.
Uncorrected energy? In order: -42.723 -48.840 -24.992 -89.853 -61.205 -22.189 eV for the cell shown.